# 1
MoWOF2 | PBE+U | optimized geometry

abc: 4.2959 4.2959 4.2528
angles: 90.00 90.00 90.00
Atoms (fractional coordinates):
Mo (0.0000, 0.0000, 0.0000)
W (0.5000, 0.5000, 0.5000)
O (0.5000, 0.5000, 0.0000)
F (0.0000, 0.5000, 0.5000)
F (0.5000, 0.0000, 0.5000)

Output
Mass density ... 7.062 g cm⁻³
Spin magnetization ... 8.00 μB/f.u.
Crystal system ... tetragonal
Relative energy among the computed polymorphs ... 0 meV/atom

=====

# 2
MoWO2F | PBE+U | optimized geometry

abc: 4.2090 4.2090 4.1015
angles: 90.00 90.00 90.00
Atoms (fractional coordinates):
Mo (0.0000, 0.0000, 0.0000)
W (0.5000, 0.5000, 0.5000)
O (0.0000, 0.5000, 0.0000)
O (0.5000, 0.0000, 0.0000)
F (0.0000, 0.0000, 0.5000)

Output
Mass density ... 7.559 g cm⁻³
Electronic total energy ... -5.891 eV per atom
Spin magnetization ... 6.95 μB/f.u.
Crystal system ... tetragonal

=====

# 3
MoWOF2 | PBE+U | optimized geometry

abc: 4.2484 4.2484 4.2845
angles: 90.00 90.00 90.00
Atoms (fractional coordinates):
Mo (0.0000, 0.0000, 0.0000)
W (0.5000, 0.5000, 0.5000)
O (0.0000, 0.0000, 0.5000)
F (0.0000, 0.5000, 0.0000)
F (0.5000, 0.0000, 0.0000)

Output
Mass density ... 7.167 g cm⁻³
Spin magnetization ... 7.95 μB/f.u.
Crystal system ... tetragonal
Relative energy among the computed polymorphs ... 363 meV/atom